Density functional theory data (PBE) for a relaxed BaGe4Pb crystal.

Cell: 6.0054 6.0054 6.0054 Å, 60.00 60.00 60.00°
Atoms (fractional coordinates):
Pb: 0.0000 0.0000 0.0000
Ge: 0.0965 0.6345 0.6345
Ge: 0.6345 0.0965 0.6345
Ge: 0.6345 0.6345 0.0965
Ge: 0.6345 0.6345 0.6345
Ba: 0.2500 0.2500 0.2500

Output
E_form = -0.100 eV per atom
D(E_F) = 1.47 states/eV/cell